BeVCoO | GGA+U | relaxed

Structure (POSCAR):
```
BeVCoO
1.0
-2.3360 0.3520 -0.9626
-0.7995 -2.3816 1.0693
-2.9798 5.0818 9.0902
Co Be V O
2 2 2 2
direct
0.5000 0.5000 0.3305
0.5000 0.0000 0.8305
0.0000 0.0000 0.2082
0.0000 0.5000 0.7082
0.0000 0.0000 0.4867
0.0000 0.5000 0.9867
0.5000 0.0000 0.1009
0.5000 0.5000 0.6009
```

Calculated values
Crystal system: orthorhombic
VASP energy in eV/atom: -5.53